(1)
# SiSnI2N | Alexandria via LeMat-Bulk | PBE-GGA | optimized geometry
# - Formation energy without anion corrections: 0.234 eV per atom
# - Spin magnetization: 0.00 μB per formula unit
data_SiSnI2N
_chemical_formula_sum 'Si1 Sn1 I2 N1'
_space_group_name_H-M_alt 'P 4/m m m'
_space_group_IT_number 123
_space_group_name_Hall '-P 4 2'
_cell_length_a 6.032
_cell_length_b 6.032
_cell_length_c 3.426
_cell_angle_alpha 90.00
_cell_angle_beta 90.00
_cell_angle_gamma 90.00
loop_
_atom_site_label
_atom_site_type_symbol
_atom_site_fract_x
_atom_site_fract_y
_atom_site_fract_z
Si1 Si 0.000 0.000 0.000
Sn1 Sn 0.500 0.500 0.500
I1 I 0.000 0.500 0.000
N1 N 0.000 0.000 0.500

***

(2)
# SrSiIN2 | Alexandria via LeMat-Bulk | PBE-GGA | optimized geometry
# - Formation energy without anion corrections: 1.743 eV per atom
# - Spin magnetization: 0.03 μB per formula unit
data_SrSiIN2
_chemical_formula_sum 'Sr1 Si1 I1 N2'
_space_group_name_H-M_alt 'P 4/m m m'
_space_group_IT_number 123
_space_group_name_Hall '-P 4 2'
_cell_length_a 4.485
_cell_length_b 4.485
_cell_length_c 6.358
_cell_angle_alpha 90.00
_cell_angle_beta 90.00
_cell_angle_gamma 90.00
loop_
_atom_site_label
_atom_site_type_symbol
_atom_site_fract_x
_atom_site_fract_y
_atom_site_fract_z
Sr1 Sr 0.000 0.000 0.000
Si1 Si 0.500 0.500 0.500
I1 I 0.000 0.000 0.500
N1 N 0.000 0.500 0.000

***

(3)
# SrSiIN2 | Alexandria via LeMat-Bulk | PBE-GGA | optimized geometry
# - Formation energy without anion corrections: 0.463 eV per atom
# - Spin magnetization: 0.66 μB per formula unit
data_SrSiIN2
_chemical_formula_sum 'Sr1 Si1 I1 N2'
_space_group_name_H-M_alt 'P 4/m m m'
_space_group_IT_number 123
_space_group_name_Hall '-P 4 2'
_cell_length_a 4.072
_cell_length_b 4.072
_cell_length_c 5.469
_cell_angle_alpha 90.00
_cell_angle_beta 90.00
_cell_angle_gamma 90.00
loop_
_atom_site_label
_atom_site_type_symbol
_atom_site_fract_x
_atom_site_fract_y
_atom_site_fract_z
Sr1 Sr 0.000 0.000 0.000
Si1 Si 0.500 0.500 0.500
I1 I 0.500 0.500 0.000
N1 N 0.000 0.500 0.500

***

(4)
# SrSiI2N | Alexandria via LeMat-Bulk | PBE-GGA | optimized geometry
# - Formation energy without anion corrections: -0.298 eV per atom
# - Spin magnetization: 0.00 μB per formula unit
data_SrSiI2N
_chemical_formula_sum 'Sr1 Si1 I2 N1'
_space_group_name_H-M_alt 'P 4/m m m'
_space_group_IT_number 123
_space_group_name_Hall '-P 4 2'
_cell_length_a 6.111
_cell_length_b 6.111
_cell_length_c 3.560
_cell_angle_alpha 90.00
_cell_angle_beta 90.00
_cell_angle_gamma 90.00
loop_
_atom_site_label
_atom_site_type_symbol
_atom_site_fract_x
_atom_site_fract_y
_atom_site_fract_z
Sr1 Sr 0.000 0.000 0.000
Si1 Si 0.500 0.500 0.500
I1 I 0.000 0.500 0.500
N1 N 0.500 0.500 0.000

***

(5)
# SrSiI2N | Alexandria via LeMat-Bulk | PBE-GGA | optimized geometry
# - Formation energy without anion corrections: 0.807 eV per atom
# - Spin magnetization: 0.00 μB per formula unit
data_SrSiI2N
_chemical_formula_sum 'Sr1 Si1 I2 N1'
_space_group_name_H-M_alt 'P 4/m m m'
_space_group_IT_number 123
_space_group_name_Hall '-P 4 2'
_cell_length_a 6.334
_cell_length_b 6.334
_cell_length_c 4.386
_cell_angle_alpha 90.00
_cell_angle_beta 90.00
_cell_angle_gamma 90.00
loop_
_atom_site_label
_atom_site_type_symbol
_atom_site_fract_x
_atom_site_fract_y
_atom_site_fract_z
Sr1 Sr 0.000 0.000 0.000
Si1 Si 0.500 0.500 0.500
I1 I 0.000 0.500 0.000
N1 N 0.000 0.000 0.500

***

(6)
# TaSiI2N | Alexandria via LeMat-Bulk | PBE-GGA | optimized geometry
# - Formation energy without anion corrections: 0.874 eV per atom
# - Spin magnetization: 2.35 μB per formula unit
data_TaSiI2N
_chemical_formula_sum 'Ta1 Si1 I2 N1'
_space_group_name_H-M_alt 'P 4/m m m'
_space_group_IT_number 123
_space_group_name_Hall '-P 4 2'
_cell_length_a 5.660
_cell_length_b 5.660
_cell_length_c 3.341
_cell_angle_alpha 90.00
_cell_angle_beta 90.00
_cell_angle_gamma 90.00
loop_
_atom_site_label
_atom_site_type_symbol
_atom_site_fract_x
_atom_site_fract_y
_atom_site_fract_z
Ta1 Ta 0.000 0.000 0.000
Si1 Si 0.500 0.500 0.500
I1 I 0.000 0.500 0.500
N1 N 0.500 0.500 0.000

***

- spin magnetization of number 4 (SrSiI2N)?
  0.00 μB per formula unit

***

- Number 3 is which compound?
  SrSiIN2

***

Repeat the sixth record exactly.
# TaSiI2N | Alexandria via LeMat-Bulk | PBE-GGA | optimized geometry
# - Formation energy without anion corrections: 0.874 eV per atom
# - Spin magnetization: 2.35 μB per formula unit
data_TaSiI2N
_chemical_formula_sum 'Ta1 Si1 I2 N1'
_space_group_name_H-M_alt 'P 4/m m m'
_space_group_IT_number 123
_space_group_name_Hall '-P 4 2'
_cell_length_a 5.660
_cell_length_b 5.660
_cell_length_c 3.341
_cell_angle_alpha 90.00
_cell_angle_beta 90.00
_cell_angle_gamma 90.00
loop_
_atom_site_label
_atom_site_type_symbol
_atom_site_fract_x
_atom_site_fract_y
_atom_site_fract_z
Ta1 Ta 0.000 0.000 0.000
Si1 Si 0.500 0.500 0.500
I1 I 0.000 0.500 0.500
N1 N 0.500 0.500 0.000